[1]
GGA-PBE PuNbSb, optimized geometry; energy relative to the lowest polymorph listed for this composition = 0.115 eV per atom; formation energy (no corrections) = 0.1 eV/f.u.; crystal system = hexagonal
1.0
4.818 0.000 0.000
-2.409 4.172 0.000
0.000 0.000 3.564
Pu Nb Sb
1 1 1
Cartesian
0.000 0.000 0.000 Pu
2.409 1.391 1.782 Nb
0.000 2.781 1.782 Sb

---

[2]
GGA-PBE PuSc2Nb, optimized geometry; ΔE_f = 145 meV per atom; energy relative to the lowest polymorph listed for this composition = 0.000 eV per atom; crystal system = tetragonal
1.0
3.079 0.000 0.000
0.000 3.079 0.000
0.000 0.000 9.485
Pu Sc Nb
1 2 1
Cartesian
0.000 0.000 0.000 Pu
1.540 1.540 2.593 Sc
1.540 1.540 6.891 Sc
0.000 0.000 4.742 Nb

---

[3]
GGA-PBE Pu2ScNb, optimized geometry; ΔE_f = 375 meV per atom; energy relative to the lowest polymorph listed for this composition = 0.153 eV per atom; crystal system = trigonal
1.0
1.578 0.911 10.937
-1.578 0.911 10.937
0.000 -1.822 10.937
Pu Sc Nb
2 1 1
Cartesian
0.000 0.000 2.957 Pu
0.000 0.000 29.853 Pu
0.000 0.000 0.000 Sc
0.000 0.000 16.405 Nb

---

[4]
GGA-PBE Pu2ScNb, optimized geometry; ΔE_f = 222 meV per atom; energy relative to the lowest polymorph listed for this composition = 0.000 eV per atom; crystal system = tetragonal
1.0
3.146 0.000 0.000
0.000 3.146 0.000
0.000 0.000 9.319
Pu Sc Nb
2 1 1
Cartesian
0.000 0.000 2.162 Pu
0.000 0.000 7.157 Pu
1.573 1.573 4.660 Sc
1.573 1.573 0.000 Nb

---

[5]
GGA-PBE PuSc2Nb, optimized geometry; ΔE_f = 183 meV per atom; energy relative to the lowest polymorph listed for this composition = 0.039 eV per atom; crystal system = trigonal
1.0
1.582 0.913 10.434
-1.582 0.913 10.434
0.000 -1.826 10.434
Pu Sc Nb
1 2 1
Cartesian
0.000 0.000 0.000 Pu
0.000 0.000 7.618 Sc
0.000 0.000 23.685 Sc
0.000 0.000 15.652 Nb

---

[6]
GGA-PBE Pu2ScNb, optimized geometry; ΔE_f = 223 meV per atom; energy relative to the lowest polymorph listed for this composition = 0.001 eV per atom; crystal system = tetragonal
1.0
4.401 0.000 0.000
0.000 4.401 0.000
0.000 0.000 4.643
Pu Sc Nb
2 1 1
Cartesian
0.000 2.201 0.000 Pu
2.201 0.000 0.000 Pu
0.000 0.000 2.321 Sc
2.201 2.201 2.321 Nb

---

[7]
GGA-PBE PuNbSe, optimized geometry; formation energy (no corrections) = -1.1 eV/f.u.; crystal system = orthorhombic
1.0
0.000 7.014 7.412
2.785 0.000 7.412
2.785 7.014 0.000
Pu Nb Se
4 4 4
Cartesian
2.785 1.858 5.633 Pu
2.785 1.858 9.190 Pu
2.785 12.170 5.633 Pu
2.785 12.170 9.190 Pu
2.785 4.256 7.412 Nb
2.785 7.014 6.161 Nb
2.785 7.014 8.662 Nb
2.785 9.772 7.412 Nb
2.785 4.795 4.805 Se
2.785 9.234 4.805 Se
2.785 4.795 10.018 Se
2.785 9.234 10.018 Se

---

[8]
GGA-PBE PuNbSi, optimized geometry; formation energy (no corrections) = -0.6 eV/f.u.; crystal system = tetragonal
1.0
-1.774 1.774 4.636
1.774 -1.774 4.636
1.774 1.774 -4.636
Pu Nb Si
1 1 1
Cartesian
0.000 0.000 0.000 Pu
0.000 0.000 6.664 Nb
0.000 0.000 2.934 Si